Record 1
First-principles (GGA-PBE) data for a relaxed structure of Sr2ZnNiH6, as listed in Alexandria via LeMat-Bulk.

Results
VASP energy   -33.92 eV/f.u.

Cell lengths 5.3588, 5.3588, 5.3598 Å; angles 119.85, 119.85, 90.13 degrees
Last column: nearest neighbours and their distance in Å.
Fractional positions:
Sr (0.2501, 0.7499, 0.0000)  12 H 2.68-2.70
Sr (0.7499, 0.2501, 0.0000)  12 H 2.68-2.70
Zn (0.0000, 0.0000, 0.5000)  6 H 2.07-2.08
Ni (0.5000, 0.5000, 0.5000)  6 H 1.71-1.72
H (0.2741, 0.7259, 0.5000)  1 Ni 1.71
H (0.2746, 0.2746, 0.0473)  1 Ni 1.72
H (0.2749, 0.2749, 0.5020)  1 Ni 1.71
H (0.7251, 0.7251, 0.4980)  1 Ni 1.71
H (0.7254, 0.7254, 0.9527)  1 Ni 1.72
H (0.7259, 0.2741, 0.5000)  1 Ni 1.71



Record 2
First-principles (GGA-PBE) data for a relaxed structure of TaNiH3, as listed in Alexandria via LeMat-Bulk.

Results
VASP energy   -27.40 eV/f.u.

Cell lengths 3.2875, 3.2875, 3.2875 Å; angles 90.00, 90.00, 90.00 degrees
Last column: nearest neighbours and their distance in Å.
Fractional positions:
Ta (0.0000, 0.0000, 0.0000)  12 H 2.32
Ni (0.5000, 0.5000, 0.5000)  6 H 1.64
H (0.0000, 0.5000, 0.5000)  2 Ni 1.64
H (0.5000, 0.0000, 0.5000)  2 Ni 1.64
H (0.5000, 0.5000, 0.0000)  2 Ni 1.64



Record 3
First-principles (GGA-PBE) data for a relaxed structure of TaNiH, as listed in Alexandria via LeMat-Bulk.

Results
Excess energy over the best structure of this formula in the dataset   4 meV/atom

Cell lengths 5.2404, 5.2404, 4.1739 Å; angles 90.00, 90.00, 147.70 degrees
Last column: nearest neighbours and their distance in Å.
Fractional positions:
Ta (0.1544, 0.8456, 0.7500)  4 H 2.05-2.14
Ta (0.8456, 0.1544, 0.2500)  4 H 2.05-2.14
Ni (0.4335, 0.5665, 0.7500)  2 H 2.00
Ni (0.5665, 0.4335, 0.2500)  2 H 2.00
H (0.2021, 0.7979, 0.2500)  2 Ni 2.00, 4 Ta 2.05-2.14
H (0.7979, 0.2021, 0.7500)  2 Ni 2.00, 4 Ta 2.05-2.14



Record 4
First-principles (GGA-PBE) data for a relaxed structure of Ta2Ni8H, as listed in Alexandria via LeMat-Bulk.

Results
VASP energy   -75.34 eV/f.u.

Cell lengths 6.6851, 6.6851, 4.2417 Å; angles 108.48, 108.48, 120.54 degrees
Last column: nearest neighbours and their distance in Å.
Fractional positions:
Ta (0.1915, 0.8085, 0.0000)  12 Ni 2.54-2.66
Ta (0.8085, 0.1915, 0.0000)  12 Ni 2.54-2.66
Ni (0.1412, 0.3664, 0.7569)  1 H 1.99
Ni (0.2525, 0.2525, 0.2581)  1 H 1.82
Ni (0.3138, 0.6861, 0.4966)  8 Ni 2.50-2.67, 4 Ta 2.54-2.56, 1 H 2.54
Ni (0.3664, 0.1412, 0.7569)  1 H 1.99
Ni (0.6336, 0.8588, 0.2494)  1 H 1.98
Ni (0.6861, 0.3138, 0.4966)  8 Ni 2.50-2.67, 4 Ta 2.54-2.56, 1 H 2.54
Ni (0.7476, 0.7476, 0.7531)  1 H 1.80
Ni (0.8588, 0.6336, 0.2494)  1 H 1.98
H (0.5026, 0.5026, 0.8144)  6 Ni 1.80-1.99



Record 5
First-principles (GGA-PBE) data for a relaxed structure of Ta2Ni2H3, as listed in Alexandria via LeMat-Bulk.

Results
Excess energy over the best structure of this formula in the dataset   75 meV/atom

Cell lengths 5.2832, 4.8331, 5.9944 Å; angles 90.00, 121.70, 90.00 degrees
Last column: nearest neighbours and their distance in Å.
Fractional positions:
Ta (0.1628, 0.1504, 0.3947)  5 H 1.98-2.17
Ta (0.1628, 0.3496, 0.8947)  5 H 1.98-2.17
Ta (0.8372, 0.6504, 0.1053)  5 H 1.98-2.17
Ta (0.8372, 0.8496, 0.6053)  5 H 1.98-2.17
Ni (0.3589, 0.6559, 0.6306)  2 H 1.79-1.94
Ni (0.3589, 0.8441, 0.1306)  2 H 1.79-1.94
Ni (0.6411, 0.1559, 0.8694)  2 H 1.79-1.94
Ni (0.6411, 0.3441, 0.3694)  2 H 1.79-1.94
H (0.0000, 0.0000, 0.0000)  2 Ni 1.79
H (0.0000, 0.5000, 0.5000)  2 Ni 1.79
H (0.2398, 0.0226, 0.7381)  2 Ni 1.94-2.09, 3 Ta 1.98-2.02
H (0.2398, 0.4774, 0.2381)  2 Ni 1.94-2.09, 3 Ta 1.98-2.02
H (0.7602, 0.5226, 0.7619)  2 Ni 1.94-2.09, 3 Ta 1.98-2.02
H (0.7602, 0.9774, 0.2619)  2 Ni 1.94-2.09, 3 Ta 1.98-2.02



Record 6
First-principles (GGA-PBE) data for a relaxed structure of TaNiH2, as listed in Alexandria via LeMat-Bulk.

Results
Excess energy over the best structure of this formula in the dataset   91 meV/atom

Cell lengths 5.3207, 5.3207, 5.3207 Å; angles 136.43, 136.43, 63.32 degrees
Last column: nearest neighbours and their distance in Å.
Fractional positions:
Ta (0.0000, 0.0000, 0.0000)  4 H 1.93
Ta (0.7500, 0.2500, 0.5000)  4 H 1.93
Ni (0.2500, 0.7500, 0.5000)  4 H 1.68
Ni (0.5000, 0.5000, 0.0000)  4 H 1.68
H (0.1821, 0.6250, 0.0571)  2 Ni 1.68
H (0.3750, 0.4321, 0.5571)  2 Ni 1.68
H (0.5679, 0.1250, 0.9429)  2 Ni 1.68
H (0.8750, 0.8179, 0.4429)  2 Ni 1.68